1.
Here is a geometry-optimized K6CrBr8 structure from the Alexandria database. Energies are from PBE-GGA.

For the formation energy without anion corrections, the calculation gives -1.471 eV/atom. Its space-group type is No. 148. As for the final energy: -3.44 eV per atom.

Cell: 8.4961 8.4961 8.4961 Å, 70.06 70.06 70.06°
With the nearest neighbours (Å) after each atom.
Positions (direct):
K 0.0566 0.4796 0.7020  6 Br 3.29-3.46
K 0.2980 0.9434 0.5204  6 Br 3.29-3.46
K 0.5204 0.2980 0.9434  6 Br 3.29-3.46
K 0.4796 0.7020 0.0566  6 Br 3.29-3.46
K 0.7020 0.0566 0.4796  6 Br 3.29-3.46
K 0.9434 0.5204 0.2980  6 Br 3.29-3.46
Cr 0.0000 0.0000 0.0000  6 Br 2.72
Br 0.1515 0.6961 0.9057  1 Cr 2.72
Br 0.0943 0.8485 0.3039  1 Cr 2.72
Br 0.3039 0.0943 0.8485  1 Cr 2.72
Br 0.6555 0.6555 0.6555  6 K 3.32-3.45
Br 0.3445 0.3445 0.3445  6 K 3.32-3.45
Br 0.6961 0.9057 0.1515  1 Cr 2.72
Br 0.9057 0.1515 0.6961  1 Cr 2.72
Br 0.8485 0.3039 0.0943  1 Cr 2.72

=====

2.
Here is a geometry-optimized KCr4Br structure from the Alexandria database. Energies are from PBE-GGA.

For the formation energy without anion corrections, the calculation gives 1.371 eV/atom. Its space-group type is No. 216. As for the final energy: -5.51 eV per atom.

Cell: 5.4461 5.4461 5.4461 Å, 60.00 60.00 60.00°
With the nearest neighbours (Å) after each atom.
Positions (direct):
K 0.7500 0.7500 0.7500  12 Cr 3.16, 4 Br 3.34
Cr 0.8135 0.3955 0.3955  3 Cr 2.28
Cr 0.3955 0.3955 0.8135  3 Cr 2.28
Cr 0.3955 0.8135 0.3955  3 Cr 2.28
Cr 0.3955 0.3955 0.3955  3 Cr 2.28
Br 0.0000 0.0000 0.0000  12 Cr 3.25, 4 K 3.34

=====

3.
Here is a geometry-optimized K2CrBr structure from the Alexandria database. Energies are from PBE-GGA.

The polymorph energy (0 for the lowest one) is 168.0 meV/atom. For the formation energy without anion corrections, the calculation gives -0.012 eV/atom. Its space-group type is No. 119. As for the final energy: -3.39 eV per atom.

Cell: 7.7572 7.7572 7.7572 Å, 143.73 143.73 52.23°
With the nearest neighbours (Å) after each atom.
Positions (direct):
Br 0.5000 0.5000 0.0000  4 K 3.41
Cr 0.7500 0.2500 0.5000  4 K 3.41
K 0.0000 0.0000 0.0000  4 Br 3.41
K 0.2500 0.7500 0.5000  4 Cr 3.41